No. 1
This record from Alexandria via LeMat-Bulk describes Ba2CoMo after structural relaxation. The functional is GGA-PBE.

Properties
The value obtained for the distance to the lowest polymorph of the same formula is 0.0100 eV per atom. For the density of states at the Fermi level, the calculation gives 6.2 states/eV/f.u.

a = 3.468 Å, b = 3.468 Å, c = 9.776 Å
α = 90.00°, β = 90.00°, γ = 90.00°
Space group P4mm (No. 99)
Unique sites:
Ba 0.000 0.000 0.000 [1 per cell]
Ba 0.500 0.500 0.415 [1 per cell]
Co 0.000 0.000 0.683 [1 per cell]
Mo 0.500 0.500 0.724 [1 per cell]

=====

No. 2
This record from Alexandria via LeMat-Bulk describes TbPm2Dy2Sc2 after structural relaxation. The functional is GGA-PBE.

Properties
The calculation puts the total energy at -5.03 eV/atom. For the density of states at the Fermi level, the calculation gives 12.1 states/eV/f.u.

a = 11.372 Å, b = 3.439 Å, c = 11.615 Å
α = 90.00°, β = 108.93°, γ = 90.00°
Space group C2/m (No. 12)
Unique sites:
Tb 0.000 0.000 0.000 [2 per cell]
Pm 0.171 0.500 0.589 [4 per cell]
Dy 0.046 0.500 0.267 [4 per cell]
Sc 0.228 0.000 0.869 [4 per cell]

=====

No. 3
This record from Alexandria via LeMat-Bulk describes HfGaPt2 after structural relaxation. The functional is GGA-PBE.

Properties
The calculation puts the total energy at -6.62 eV/atom. For the density of states at the Fermi level, the calculation gives 1.8 states/eV/f.u.

a = 5.743 Å, b = 5.743 Å, c = 11.826 Å
α = 90.00°, β = 90.00°, γ = 90.00°
Space group I-42d (No. 122)
Unique sites:
Hf 0.000 0.000 0.000 [4 per cell]
Ga 0.000 0.000 0.500 [4 per cell]
Pt 0.229 0.250 0.625 [8 per cell]

=====

No. 4
This record from Alexandria via LeMat-Bulk describes Ce2GaSi4Pd3 after structural relaxation. The functional is GGA-PBE.

Properties
As for the formation energy without anion corrections: -784 meV/atom. For the density of states at the Fermi level, the calculation gives 11.7 states/eV/f.u.

a = 4.229 Å, b = 4.229 Å, c = 10.048 Å
α = 90.00°, β = 90.00°, γ = 90.00°
Space group P-4m2 (No. 115)
Unique sites:
Ce 0.000 0.500 0.245 [2 per cell]
Ga 0.000 0.000 0.500 [1 per cell]
Si 0.000 0.000 0.000 [1 per cell]
Si 0.000 0.500 0.641 [2 per cell]
Si 0.500 0.500 0.000 [1 per cell]
Pd 0.000 0.500 0.880 [2 per cell]
Pd 0.500 0.500 0.500 [1 per cell]

=====

No. 5
This record from Alexandria via LeMat-Bulk describes LiZrPb2 after structural relaxation. The functional is GGA-PBE.

Properties
The calculation puts the total energy at -4.52 eV/atom. For the density of states at the Fermi level, the calculation gives 2.9 states/eV/f.u.

a = 4.624 Å, b = 4.624 Å, c = 8.842 Å
α = 90.00°, β = 90.00°, γ = 90.00°
Space group I4/mmm (No. 139)
Unique sites:
Li 0.000 0.000 0.000 [2 per cell]
Zr 0.000 0.000 0.500 [2 per cell]
Pb 0.000 0.500 0.250 [4 per cell]

=====

No. 6
This record from Alexandria via LeMat-Bulk describes Nb2GeN after structural relaxation. The functional is GGA-PBE.

Properties
As for the formation energy without anion corrections: 99 meV/atom. For the density of states at the Fermi level, the calculation gives 2.6 states/eV/f.u.

a = 4.0734 Å, b = 4.0734 Å, c = 18.1137 Å
α = 90.00°, β = 90.00°, γ = 120.00°
Space group R-3m (No. 166, hexagonal axes)
Unique sites:
Nb 0.0000 0.0000 0.1042 [6 per cell]
Ge 0.0000 0.0000 0.5000 [3 per cell]
N 0.0000 0.0000 0.0000 [3 per cell]

=====

No. 7
This record from Alexandria via LeMat-Bulk describes RbCaScO3 after structural relaxation. The functional is GGA-PBE.

Properties
As for the formation energy without anion corrections: -2622 meV/atom. For the density of states at the Fermi level, the calculation gives 0.0 states/eV/f.u.

a = 15.731 Å, b = 3.637 Å, c = 8.836 Å
α = 90.00°, β = 111.45°, γ = 90.00°
Space group C2/m (No. 12)
Unique sites:
Rb 0.134 0.000 0.099 [4 per cell]
Ca 0.175 0.000 0.538 [4 per cell]
Sc 0.015 0.500 0.334 [4 per cell]
O 0.002 0.000 0.774 [4 per cell]
O 0.092 0.500 0.585 [4 per cell]
O 0.170 0.500 0.355 [4 per cell]

=====

No. 8
This record from Alexandria via LeMat-Bulk describes Cd2PdAu8 after structural relaxation. The functional is GGA-PBE.

Properties
The value obtained for the distance to the lowest polymorph of the same formula is 0.0000 eV per atom. For the density of states at the Fermi level, the calculation gives 3.7 states/eV/f.u.

a = 14.960 Å, b = 4.171 Å, c = 6.676 Å
α = 90.00°, β = 106.12°, γ = 90.00°
Space group C2/m (No. 12)
Unique sites:
Cd 0.225 0.000 0.147 [4 per cell]
Pd 0.000 0.500 0.500 [2 per cell]
Au 0.043 0.000 0.230 [4 per cell]
Au 0.091 0.500 0.949 [4 per cell]
Au 0.136 0.000 0.681 [4 per cell]
Au 0.177 0.500 0.407 [4 per cell]

=====

No. 9
This record from Alexandria via LeMat-Bulk describes LiSi2Os after structural relaxation. The functional is GGA-PBE.

Properties
As for the formation energy without anion corrections: -104 meV/atom. The value obtained for the distance to the lowest polymorph of the same formula is 0.1517 eV per atom. For the density of states at the Fermi level, the calculation gives 1.5 states/eV/f.u.

a = 2.850 Å, b = 3.523 Å, c = 5.214 Å
α = 90.00°, β = 90.65°, γ = 90.00°
Space group P2/m (No. 10)
Unique sites:
Li 0.000 0.000 0.000 [1 per cell]
Si 0.500 0.500 0.254 [2 per cell]
Os 0.000 0.000 0.500 [1 per cell]

=====

No. 10
This record from Alexandria via LeMat-Bulk describes YMnFe2 after structural relaxation. The functional is GGA-PBE.

Properties
The value obtained for the distance to the lowest polymorph of the same formula is 0.1553 eV per atom. For the density of states at the Fermi level, the calculation gives 3.2 states/eV/f.u.

a = 3.357 Å, b = 4.403 Å, c = 8.970 Å
α = 90.00°, β = 90.00°, γ = 90.00°
Space group Imm2 (No. 44)
Unique sites:
Y 0.000 0.000 0.000 [2 per cell]
Mn 0.000 0.500 0.226 [2 per cell]
Fe 0.000 0.000 0.454 [2 per cell]
Fe 0.000 0.500 0.768 [2 per cell]

=====

No. 11
This record from Alexandria via LeMat-Bulk describes K2Pd5Pb4 after structural relaxation. The functional is GGA-PBE.

Properties
The calculation puts the total energy at -4.13 eV/atom. For the density of states at the Fermi level, the calculation gives 5.6 states/eV/f.u.

a = 6.052 Å, b = 11.083 Å, c = 16.900 Å
α = 90.00°, β = 90.00°, γ = 90.00°
Space group Fmmm (No. 69)
Unique sites:
K 0.000 0.000 0.125 [8 per cell]
Pd 0.000 0.000 0.500 [4 per cell]
Pd 0.250 0.250 0.000 [8 per cell]
Pd 0.250 0.250 0.250 [8 per cell]
Pb 0.000 0.160 0.373 [16 per cell]

=====

No. 12
This record from Alexandria via LeMat-Bulk describes DyNi4Ge after structural relaxation. The functional is GGA-PBE.

Properties
The value obtained for the distance to the lowest polymorph of the same formula is 0.0169 eV per atom. For the density of states at the Fermi level, the calculation gives 6.0 states/eV/f.u.

a = 6.937 Å, b = 6.937 Å, c = 6.937 Å
α = 90.00°, β = 90.00°, γ = 90.00°
Space group F-43m (No. 216)
Unique sites:
Dy 0.000 0.000 0.000 [4 per cell]
Ni 0.124 0.124 0.376 [16 per cell]
Ge 0.250 0.250 0.750 [4 per cell]

=====

No. 13
This record from Alexandria via LeMat-Bulk describes Ca4PdPt3 after structural relaxation. The functional is GGA-PBE.

Properties
The calculation puts the total energy at -4.75 eV/atom. For the density of states at the Fermi level, the calculation gives 3.3 states/eV/f.u.

a = 4.923 Å, b = 4.923 Å, c = 7.073 Å
α = 90.00°, β = 90.00°, γ = 90.00°
Space group P4/mmm (No. 123)
Unique sites:
Ca 0.000 0.500 0.246 [4 per cell]
Pd 0.000 0.000 0.500 [1 per cell]
Pt 0.000 0.000 0.000 [1 per cell]
Pt 0.500 0.500 0.000 [1 per cell]
Pt 0.500 0.500 0.500 [1 per cell]

=====

No. 14
This record from Alexandria via LeMat-Bulk describes Tb6Hg2Os after structural relaxation. The functional is GGA-PBE.

Properties
The value obtained for the distance to the lowest polymorph of the same formula is 0.0000 eV per atom. For the density of states at the Fermi level, the calculation gives 8.1 states/eV/f.u.

a = 9.592 Å, b = 9.952 Å, c = 10.211 Å
α = 90.00°, β = 90.00°, γ = 90.00°
Space group Immm (No. 71)
Unique sites:
Tb 0.000 0.169 0.246 [8 per cell]
Tb 0.168 0.500 0.237 [8 per cell]
Tb 0.233 0.317 0.500 [8 per cell]
Hg 0.000 0.354 0.000 [4 per cell]
Hg 0.146 0.000 0.500 [4 per cell]
Os 0.000 0.000 0.000 [2 per cell]
Os 0.000 0.500 0.500 [2 per cell]

=====

No. 15
This record from Alexandria via LeMat-Bulk describes Sr2TlHg2Bi2 after structural relaxation. The functional is GGA-PBE.

Properties
The calculation puts the total energy at -2.36 eV/atom. For the density of states at the Fermi level, the calculation gives 3.7 states/eV/f.u.

a = 5.5339 Å, b = 5.5339 Å, c = 27.1184 Å
α = 90.00°, β = 90.00°, γ = 120.00°
Space group R-3m (No. 166, hexagonal axes)
Unique sites:
Sr 0.0000 0.0000 0.1272 [6 per cell]
Tl 0.0000 0.0000 0.0000 [3 per cell]
Hg 0.0000 0.0000 0.4389 [6 per cell]
Bi 0.0000 0.0000 0.2635 [6 per cell]

=====

No. 16
This record from Alexandria via LeMat-Bulk describes ZrTe after structural relaxation. The functional is GGA-PBE.

Properties
As for the formation energy without anion corrections: -517 meV/atom. For the density of states at the Fermi level, the calculation gives 2.1 states/eV/f.u.

a = 10.4808 Å, b = 10.4808 Å, c = 4.0352 Å
α = 90.00°, β = 90.00°, γ = 120.00°
Space group P6_3/m (No. 176)
Unique sites:
Zr 0.1467 0.5034 0.2500 [6 per cell]
Te 0.0350 0.7060 0.2500 [6 per cell]

=====

No. 17
This record from Alexandria via LeMat-Bulk describes Pm3Y4Er4 after structural relaxation. The functional is GGA-PBE.

Properties
The value obtained for the distance to the lowest polymorph of the same formula is 0.3075 eV per atom. For the density of states at the Fermi level, the calculation gives 16.8 states/eV/f.u.

a = 5.275 Å, b = 10.100 Å, c = 14.543 Å
α = 90.00°, β = 90.00°, γ = 90.00°
Space group Immm (No. 71)
Unique sites:
Pm 0.000 0.000 0.000 [2 per cell]
Pm 0.000 0.500 0.116 [4 per cell]
Y 0.000 0.333 0.325 [8 per cell]
Er 0.000 0.000 0.264 [4 per cell]
Er 0.000 0.150 0.500 [4 per cell]

=====

No. 18
This record from Alexandria via LeMat-Bulk describes PrHo2Sn2Hg2 after structural relaxation. The functional is GGA-PBE.

Properties
The calculation puts the total energy at -3.57 eV/atom. For the density of states at the Fermi level, the calculation gives 5.1 states/eV/f.u.

a = 5.0076 Å, b = 5.0076 Å, c = 26.8179 Å
α = 90.00°, β = 90.00°, γ = 120.00°
Space group R-3m (No. 166, hexagonal axes)
Unique sites:
Pr 0.0000 0.0000 0.0000 [3 per cell]
Ho 0.0000 0.0000 0.1319 [6 per cell]
Sn 0.0000 0.0000 0.2668 [6 per cell]
Hg 0.0000 0.0000 0.4348 [6 per cell]

=====

No. 19
This record from Alexandria via LeMat-Bulk describes EuHoLuTh after structural relaxation. The functional is GGA-PBE.

Properties
The calculation puts the total energy at -6.51 eV/atom. For the density of states at the Fermi level, the calculation gives 6.4 states/eV/f.u.

a = 8.069 Å, b = 8.069 Å, c = 8.069 Å
α = 90.00°, β = 90.00°, γ = 90.00°
Space group F-43m (No. 216)
Unique sites:
Eu 0.000 0.000 0.000 [4 per cell]
Ho 0.250 0.250 0.250 [4 per cell]
Lu 0.250 0.250 0.750 [4 per cell]
Th 0.000 0.000 0.500 [4 per cell]

=====

No. 20
This record from Alexandria via LeMat-Bulk describes InPb4Se6 after structural relaxation. The functional is GGA-PBE.

Properties
As for the formation energy without anion corrections: -428 meV/atom. For the density of states at the Fermi level, the calculation gives 4.0 states/eV/f.u.

a = 15.149 Å, b = 8.031 Å, c = 13.801 Å
α = 90.00°, β = 116.76°, γ = 90.00°
Space group Cc (No. 9)
Unique sites:
In 0.000 0.213 0.000 [4 per cell]
Pb 0.033 0.327 0.595 [4 per cell]
Pb 0.224 0.459 0.930 [4 per cell]
Pb 0.275 0.106 0.250 [4 per cell]
Pb 0.421 0.336 0.740 [4 per cell]
Se 0.019 0.476 0.896 [4 per cell]
Se 0.060 0.065 0.459 [4 per cell]
Se 0.096 0.283 0.206 [4 per cell]
Se 0.233 0.252 0.767 [4 per cell]
Se 0.319 0.218 0.465 [4 per cell]
Se 0.366 0.337 0.137 [4 per cell]